Record 1
The following is a DFT calculation (PBE) of a relaxed Cs2Na2Au crystal.

Properties
Calculated total energy = -15.52 eV for the cell shown
Total moment = 0.00 μB per cell
Excess energy over the best structure of this formula in the dataset = 77 meV per atom
Energy of formation from the pure elements = -0.027 eV per atom
DOS(E_F) = 5.459 states/eV per cell

Geometry as POSCAR:
```
Cs2Na2Au
1.0
-2.080 4.608 -6.748
-7.469 -3.895 -0.357
-2.564 4.558 3.903
Cs Na Au
4 4 2
Direct
0.194 0.694 0.500
0.694 0.806 0.500
0.806 0.306 0.500
0.306 0.194 0.500
0.350 0.850 0.000
0.850 0.650 0.000
0.650 0.150 0.000
0.150 0.350 0.000
0.000 0.000 0.000
0.500 0.500 0.000
```

=====

Record 2
The following is a DFT calculation (PBE) of a relaxed Ca2Zn7Cd crystal.

Properties
Calculated total energy = -16.06 eV for the cell shown
Total moment = 0.00 μB per cell
Energy of formation from the pure elements = -0.222 eV per atom
DOS(E_F) = 3.231 states/eV per cell

Geometry as POSCAR:
```
Ca2Zn7Cd
1.0
-3.847 1.032 1.259
1.004 -1.038 3.920
3.524 10.761 1.948
Ca Zn Cd
2 7 1
Direct
0.500 0.000 0.743
0.000 0.500 0.257
0.000 0.500 0.851
0.500 0.000 0.365
0.500 0.000 0.149
0.000 0.500 0.635
0.000 0.000 0.500
0.000 0.000 0.000
0.500 0.500 0.500
0.500 0.500 0.000
```

=====

Record 3
The following is a DFT calculation (PBE) of a relaxed Ta2AgHg crystal.

Properties
Calculated total energy = -46.63 eV for the cell shown
Total moment = 0.00 μB per cell
Energy of formation from the pure elements = 0.886 eV per atom
DOS(E_F) = 7.218 states/eV per cell

Geometry as POSCAR:
```
Ta2AgHg
1.0
7.644 0.000 0.000
0.000 7.644 0.000
3.822 3.822 2.743
Hg Ag Ta
2 2 4
Direct
0.000 0.000 0.000
0.750 0.250 0.500
0.500 0.500 0.000
0.250 0.750 0.500
0.619 0.125 0.250
0.131 0.625 0.250
0.375 0.381 0.750
0.875 0.869 0.750
```

=====

Q: Which formula does entry 3 have?
A: Ta2AgHg